Entry 1:
Ta8Nb2Pd (GGA-PBE, optimized geometry); ΔE_f = -0.078 eV per atom; DOS at the Fermi energy = 0.913 states/eV per atom; crystal system = triclinic; total moment = 0.00 μB per cell; symmetry = No. 2
1.0
3.3333 0.0000 0.0000
0.0000 7.3290 0.0000
-1.6537 -2.1976 8.0808
Ta Nb Pd
8 2 1
Cartesian
0.0008 1.4555 0.7242
0.0020 4.3860 2.2068
0.0094 2.9382 5.1296
0.0106 -1.4659 6.6184
1.6691 6.5973 1.4624
1.6702 2.1932 2.9512
1.6776 0.7454 5.8740
1.6788 3.6759 7.3567
0.0058 -0.0043 3.6655
1.6738 5.1358 4.4153
1.6667 3.6645 0.0000

Entry 2:
Ta3Nb6Pd (GGA-PBE, optimized geometry); ΔE_f = -0.079 eV per atom; DOS at the Fermi energy = 0.995 states/eV per atom; crystal system = monoclinic; total moment = 0.00 μB per cell; symmetry = No. 11
1.0
8.0785 0.0000 0.0000
0.0000 4.7184 0.0000
-2.7994 0.0000 9.4283
Ta Nb Pd
6 12 2
Cartesian
-0.6933 1.1796 3.7905
0.6881 3.5388 1.9076
2.0082 1.1796 0.0328
3.2709 3.5388 9.3956
4.5910 1.1796 7.5207
5.9724 3.5388 5.6378
-2.1446 3.5388 8.4408
-0.8120 1.1796 6.5688
0.6666 3.5388 4.7279
0.5732 3.5388 7.5580
2.0094 1.1796 2.8880
3.3544 3.5388 0.8970
1.9247 1.1796 8.5313
3.2697 3.5388 6.5403
4.7059 1.1796 1.8703
4.6125 1.1796 4.7004
6.0911 3.5388 2.8595
7.4237 1.1796 0.9875
1.8742 1.1796 5.7642
3.4049 3.5388 3.6641

Entry 3:
TaNbTe2Pd (GGA-PBE, optimized geometry); DOS at the Fermi energy = 1.492 states/eV per atom; crystal system = tetragonal; total moment = 1.50 μB per cell; ΔE_f (raw) = 1.26 eV per atom; symmetry = No. 123
1.0
5.1197 0.0000 0.0000
0.0000 5.1197 0.0000
0.0000 0.0000 4.8548
Ta Nb Te Pd
1 1 2 1
Cartesian
0.0000 0.0000 0.0000
2.5598 2.5598 0.0000
0.0000 2.5598 2.4274
2.5598 0.0000 2.4274
2.5598 2.5598 2.4274